1.
PmSmY3Sc (PBE, relaxed); E = -5.825 eV per atom; energy of formation = 41 meV per atom; magnetic moment = 0.00 μB per formula unit
1.0
-2.874 3.911 -1.218
2.313 -3.586 -6.692
-8.121 -5.863 0.336
Sm Pm Y Sc
2 2 6 2
Direct
0.000 0.000 0.500 Sm
0.000 0.000 0.000 Sm
0.498 0.995 0.750 Pm
0.502 0.005 0.250 Pm
0.668 0.335 0.499 Y
0.830 0.661 0.250 Y
0.170 0.339 0.750 Y
0.332 0.665 0.999 Y
0.668 0.335 0.001 Y
0.332 0.665 0.501 Y
0.833 0.665 0.750 Sc
0.167 0.335 0.250 Sc

***

2.
PmSmYSc (PBE, relaxed); E = -5.469 eV per atom; energy of formation = 97 meV per atom; magnetic moment = 0.00 μB per formula unit
1.0
-0.700 -3.738 0.206
1.557 -0.591 -5.434
4.351 -2.511 4.492
Y Sm Pm Sc
1 1 1 1
Direct
0.192 0.872 0.743 Y
0.652 0.412 0.824 Sm
0.421 0.139 0.278 Pm
0.920 0.642 0.285 Sc

***

3.
PmSmYSc (PBE, relaxed); E = -5.415 eV per atom; energy of formation = 152 meV per atom; magnetic moment = 0.19 μB per formula unit
1.0
-5.542 -0.567 0.737
-2.896 -3.641 -3.152
-2.062 -4.692 2.305
Sm Pm Sc Y
1 1 1 1
Direct
0.250 0.250 0.250 Sm
0.500 0.500 0.500 Pm
0.000 0.000 0.000 Sc
0.750 0.750 0.750 Y

***

4.
PmSmScZn (PBE, relaxed); E = -4.411 eV per atom; energy of formation = -143 meV per atom; magnetic moment = 0.00 μB per formula unit
1.0
3.522 0.000 0.000
0.000 3.522 0.000
0.000 0.000 8.544
Pm Sc Sm Zn
1 1 1 1
Direct
0.000 0.000 0.093 Pm
0.500 0.500 0.373 Sc
0.500 0.500 0.777 Sm
0.000 0.000 0.541 Zn

***

5.
PmSmScZn (PBE, relaxed); E = -4.283 eV per atom; energy of formation = -14 meV per atom; magnetic moment = 0.00 μB per formula unit
1.0
5.302 0.000 0.000
2.651 4.591 0.000
2.651 1.530 4.329
Pm Sm Sc Zn
1 1 1 1
Direct
0.750 0.750 0.750 Pm
0.250 0.250 0.250 Sm
0.500 0.500 0.500 Sc
0.000 0.000 0.000 Zn

***

6.
Pm5ScSn5 (PBE, relaxed); E = -5.026 eV per atom; energy of formation = -472 meV per atom; magnetic moment = 0.00 μB per formula unit
1.0
-0.991 5.959 -0.682
-4.215 -3.006 6.953
6.700 1.378 2.304
Pm Sn Sc
5 5 1
Direct
0.651 0.302 0.773 Pm
0.349 0.698 0.227 Pm
0.682 0.365 0.287 Pm
0.318 0.635 0.713 Pm
0.000 0.000 0.500 Pm
0.837 0.675 0.094 Sn
0.163 0.325 0.906 Sn
0.161 0.322 0.348 Sn
0.500 0.000 0.000 Sn
0.839 0.678 0.652 Sn
0.000 0.000 0.000 Sc

***

7.
Pm2ScSn6 (PBE, relaxed); E = -4.869 eV per atom; energy of formation = -442 meV per atom; magnetic moment = 0.00 μB per formula unit
1.0
-0.119 -0.829 4.374
8.023 3.670 3.188
2.865 8.047 3.877
Sn Sc Pm
6 1 2
Direct
0.683 0.027 0.604 Sn
0.683 0.604 0.027 Sn
0.491 0.268 0.751 Sn
0.302 0.985 0.410 Sn
0.302 0.410 0.985 Sn
0.491 0.751 0.268 Sn
0.057 0.944 0.944 Sc
0.108 0.392 0.392 Pm
0.881 0.618 0.618 Pm

***

8.
Pm7ScSn4 (PBE, relaxed); E = -4.923 eV per atom; energy of formation = -290 meV per atom; magnetic moment = 0.00 μB per formula unit
1.0
-0.041 0.562 -5.745
-5.956 -6.553 -3.499
-5.816 4.413 -2.427
Sn Pm Sc
4 7 1
Direct
0.302 0.328 0.069 Sn
0.698 0.672 0.931 Sn
0.437 0.764 0.362 Sn
0.563 0.236 0.638 Sn
0.500 0.000 0.000 Pm
0.312 0.618 0.758 Pm
0.207 0.110 0.477 Pm
0.939 0.368 0.753 Pm
0.688 0.382 0.242 Pm
0.793 0.890 0.523 Pm
0.061 0.632 0.247 Pm
0.000 0.000 0.000 Sc

***

9.
Pm2ScSn (PBE, relaxed); E = -5.378 eV per atom; energy of formation = -419 meV per atom; magnetic moment = 0.00 μB per formula unit
1.0
-0.505 4.759 0.493
-4.389 -0.650 1.781
1.828 -0.263 4.410
Pm Sc Sn
2 1 1
Direct
0.000 0.000 0.500 Pm
0.000 0.500 0.000 Pm
0.500 0.500 0.500 Sc
0.500 0.000 0.000 Sn

***

10.
PmSc4Sn2 (PBE, relaxed); E = -5.575 eV per atom; energy of formation = -135 meV per atom; magnetic moment = 0.73 μB per formula unit
1.0
4.205 0.000 0.000
0.000 4.205 0.000
-2.102 -2.102 10.652
Sc Pm Sn
4 1 2
Direct
0.861 0.861 0.721 Sc
0.750 0.250 0.500 Sc
0.250 0.750 0.500 Sc
0.139 0.139 0.279 Sc
0.000 0.000 0.000 Pm
0.371 0.371 0.743 Sn
0.629 0.629 0.257 Sn

***

11.
Pm3Sc2Sn4 (PBE, relaxed); E = -5.371 eV per atom; energy of formation = -601 meV per atom; magnetic moment = 0.01 μB per formula unit
1.0
4.596 0.000 0.000
-2.298 5.754 -0.005
0.000 -0.622 9.646
Sn Sc Pm
4 2 3
Direct
0.317 0.633 0.915 Sn
0.076 0.151 0.635 Sn
0.683 0.367 0.085 Sn
0.924 0.849 0.365 Sn
0.680 0.360 0.777 Sc
0.320 0.640 0.223 Sc
0.633 0.265 0.401 Pm
0.000 0.000 0.000 Pm
0.367 0.735 0.599 Pm

***

12.
Pm3Sc2Sn6 (PBE, relaxed); E = -4.932 eV per atom; energy of formation = -302 meV per atom; magnetic moment = 0.00 μB per formula unit
1.0
5.549 0.000 0.000
0.000 5.549 0.000
-2.775 -2.775 11.053
Sn Sc Pm
6 2 3
Direct
0.421 0.921 0.842 Sn
0.302 0.302 0.604 Sn
0.579 0.079 0.158 Sn
0.921 0.421 0.842 Sn
0.079 0.579 0.158 Sn
0.698 0.698 0.396 Sn
0.429 0.429 0.858 Sc
0.571 0.571 0.142 Sc
0.000 0.000 0.000 Pm
0.160 0.160 0.321 Pm
0.840 0.840 0.679 Pm

***

Q: Which of these has the lowest E?
A: PmSmY3Sc